No. 1
The following is a DFT calculation (PBE) of Tc3MoI after structural relaxation.

Cell and atoms, written as POSCAR:
```
Tc3MoI
1.0
4.792 0.000 0.000
0.000 4.792 0.000
0.000 0.000 4.792
Tc I Mo
3 1 1
Cartesian
2.396 0.000 0.000
0.000 2.396 0.000
0.000 0.000 2.396
2.396 2.396 2.396
0.000 0.000 0.000
```

The space group is No. 221. Its spin magnetization is 0.758 μB per atom. For the polymorph energy (0 for the lowest one), the calculation gives 0.00 eV/f.u.

No. 2
The following is a DFT calculation (PBE) of Ca4Pr3Tl4 after structural relaxation.

Cell and atoms, written as POSCAR:
```
Ca4Pr3Tl4
1.0
-4.792 -2.498 -0.233
3.320 -6.096 -2.905
1.997 1.120 9.678
Tl Ca Pr
4 4 3
Cartesian
-1.716 -2.497 -0.711
2.127 -4.225 1.551
-1.602 -3.249 4.989
0.244 -6.097 -2.427
0.478 -6.837 0.685
1.567 -3.429 4.525
0.047 -0.637 5.855
-1.042 -4.045 2.015
0.253 -0.637 1.626
1.660 -3.048 -1.452
0.273 -6.837 4.914
```

Its energy relative to the elements is -6.17 kcal/mol of atoms. The space group is No. 71. Its spin magnetization is 0.000 μB per atom.

No. 3
The following is a DFT calculation (PBE) of SrSc2I after structural relaxation.

Cell and atoms, written as POSCAR:
```
SrSc2I
1.0
8.992 0.000 0.000
0.000 8.992 0.000
4.496 4.496 3.251
Sc Sr I
4 2 2
Cartesian
7.324 2.248 0.813
6.744 6.164 2.438
11.240 11.820 2.438
1.668 6.744 0.813
4.496 4.496 0.000
4.496 8.992 1.625
8.992 4.496 1.625
0.000 0.000 0.000
```

The space group is No. 122. Its spin magnetization is 0.000 μB per atom. For the polymorph energy (0 for the lowest one), the calculation gives 0.00 eV/f.u.

No. 4
The following is a DFT calculation (PBE) of Nd2SmY6Er2 after structural relaxation.

Cell and atoms, written as POSCAR:
```
Nd2SmY6Er2
1.0
-0.756 0.372 -6.617
-3.431 -3.571 4.469
-2.648 11.338 3.394
Er Sm Nd Y
2 1 2 6
Cartesian
-2.875 4.869 -1.624
-3.960 3.270 2.870
-1.324 5.669 1.697
-1.118 -0.161 -5.117
-3.069 -3.037 2.969
-4.834 5.764 0.884
-3.142 0.739 -2.517
-3.965 -0.476 0.896
-2.001 2.375 0.362
-2.870 8.614 0.350
-3.693 7.400 3.763
```

Its energy relative to the elements is 3.45 kcal/mol of atoms. The space group is No. 12. Its spin magnetization is 0.000 μB per atom.

No. 5
The following is a DFT calculation (PBE) of ThSiS4 after structural relaxation.

Cell and atoms, written as POSCAR:
```
ThSiS4
1.0
5.363 0.400 -1.992
-2.476 4.774 -1.992
-0.223 -0.400 5.717
Si S Th
1 4 1
Cartesian
1.444 2.587 -1.992
2.616 3.969 -0.838
2.491 0.464 3.898
-0.500 3.106 -1.237
0.720 2.011 1.643
3.292 1.294 0.866
```

The space group is No. 82. Its spin magnetization is 0.000 μB per atom. For the polymorph energy (0 for the lowest one), the calculation gives 0.98 eV/f.u.

No. 6
The following is a DFT calculation (PBE) of SrCa5Tl4 after structural relaxation.

Cell and atoms, written as POSCAR:
```
SrCa5Tl4
1.0
-2.214 -2.776 1.683
2.514 -0.177 3.015
-11.215 15.150 10.237
Ca Sr Tl
5 1 4
Cartesian
-1.454 0.690 3.813
-3.435 3.366 5.622
-5.457 6.098 7.468
-7.480 8.830 9.314
-9.461 11.507 11.123
0.000 0.000 0.000
-8.676 11.720 7.920
-6.605 8.922 6.029
-4.610 6.227 4.208
-2.539 3.430 2.318
```

Its energy relative to the elements is -7.96 kcal/mol of atoms. The space group is No. 123. Its spin magnetization is 0.000 μB per atom.

No. 7
The following is a DFT calculation (PBE) of Sc3FeH after structural relaxation.

Cell and atoms, written as POSCAR:
```
Sc3FeH
1.0
-1.625 -2.180 -3.957
1.921 -4.139 1.491
-4.088 -1.079 2.273
Sc Fe H
3 1 1
Cartesian
-2.044 -0.539 1.137
-0.813 -1.090 -1.978
0.961 -2.070 0.746
0.000 0.000 0.000
-1.896 -3.699 -0.096
```

The space group is No. 221. Its spin magnetization is 0.000 μB per atom. For the polymorph energy (0 for the lowest one), the calculation gives 2.40 eV/f.u.

No. 8
The following is a DFT calculation (PBE) of Mg2BeCr after structural relaxation.

Cell and atoms, written as POSCAR:
```
Mg2BeCr
1.0
-2.878 2.978 -3.261
-1.852 -2.079 -4.476
0.150 -0.051 5.269
Mg Cr Be
2 1 1
Cartesian
-2.473 0.470 -4.045
-4.622 0.879 -7.560
-2.033 -0.840 -1.538
-2.547 1.689 -0.930
```

Its energy relative to the elements is 12.82 kcal/mol of atoms. The space group is No. 71. Its spin magnetization is 0.052 μB per atom.

No. 9
The following is a DFT calculation (PBE) of ThTcMo after structural relaxation.

Cell and atoms, written as POSCAR:
```
ThTcMo
1.0
4.299 0.000 0.000
0.000 4.588 0.000
-2.150 0.000 6.651
Tc Th Mo
2 2 2
Cartesian
2.150 1.147 2.004
0.000 3.441 4.647
0.000 3.441 1.111
2.150 1.147 5.540
2.150 3.441 3.332
0.000 1.147 3.319
```

Its energy relative to the elements is 4.42 kcal/mol of atoms. The space group is No. 63. Its spin magnetization is 0.000 μB per atom. For the polymorph energy (0 for the lowest one), the calculation gives 0.66 eV/f.u.